## Al2NiGe (GGA-PBE)

Data for a geometry-optimized Al2NiGe structure.

The density is 4.67 g/cm³.

The structure belongs to space group I-42d (No. 122); the cell edges are 4.0047, 4.0047 and 16.4251 Å and the angles 90.00°, 90.00° and 90.00°. The asymmetric unit holds Al at (0.2182, 0.2500, 0.1250), Ni at (0.0000, 0.0000, 0.0000) and Ge at (0.0000, 0.0000, 0.5000).



## Al3Ni12Ge (GGA-PBE)

Data for a geometry-optimized Al3Ni12Ge structure.

The density is 7.84 g/cm³.

The structure belongs to space group P4/mmm (No. 123); the cell edges are 3.5666, 3.5666 and 14.2827 Å and the angles 90.00°, 90.00° and 90.00°. The asymmetric unit holds Al at (0.0000, 0.0000, 0.0000), Al at (0.0000, 0.0000, 0.2488), Ni at (0.0000, 0.5000, 0.1245), Ni at (0.0000, 0.5000, 0.3747), Ni at (0.5000, 0.5000, 0.0000), Ni at (0.5000, 0.5000, 0.2501), Ni at (0.5000, 0.5000, 0.5000) and Ge at (0.0000, 0.0000, 0.5000).



## AlNiGe2 (GGA-PBE)

Data for a geometry-optimized AlNiGe2 structure.

The density is 5.68 g/cm³.

The structure belongs to space group I-42d (No. 122); the cell edges are 4.1236, 4.1236 and 15.8839 Å and the angles 90.00°, 90.00° and 90.00°. The asymmetric unit holds Al at (0.0000, 0.0000, 0.0000), Ni at (0.0000, 0.0000, 0.5000) and Ge at (0.2041, 0.2500, 0.6250).



## Al2Ni5Ge (GGA-PBE)

Data for a geometry-optimized Al2Ni5Ge structure.

The density is 7.38 g/cm³.

The structure belongs to space group I4/mmm (No. 139); the cell edges are 3.7303, 3.7303 and 13.5875 Å and the angles 90.00°, 90.00° and 90.00°. The asymmetric unit holds Al at (0.0000, 0.0000, 0.2464), Ni at (0.0000, 0.0000, 0.0000), Ni at (0.0000, 0.5000, 0.1272) and Ge at (0.0000, 0.0000, 0.5000).



## Al2Ni9Ge (GGA-PBE)

Data for a geometry-optimized Al2Ni9Ge structure.

The density is 7.97 g/cm³.

The structure belongs to space group P4/mmm (No. 123); the cell edges are 3.5673, 3.5673 and 10.7163 Å and the angles 90.00°, 90.00° and 90.00°. The asymmetric unit holds Al at (0.0000, 0.0000, 0.1653), Ni at (0.0000, 0.5000, 0.0000), Ni at (0.0000, 0.5000, 0.3331), Ni at (0.5000, 0.5000, 0.1672), Ni at (0.5000, 0.5000, 0.5000) and Ge at (0.0000, 0.0000, 0.5000).



## AlNi3Ge (GGA-PBE)

Data for a geometry-optimized AlNi3Ge structure.

The density is 7.58 g/cm³. The relative energy among the computed polymorphs comes out at 0.00 eV per formula unit.

The structure belongs to space group P-1 (No. 2); the cell edges are 4.7137, 4.7439 and 6.5432 Å and the angles 71.94°, 71.51° and 62.58°. The asymmetric unit holds Al at (0.0302, 0.2712, 0.3661), Ni at (0.1571, 0.7445, 0.2340), Ni at (0.2622, 0.2800, 0.9612), Ni at (0.4644, 0.2477, 0.5475) and Ge at (0.3459, 0.7992, 0.8364).



## AlNi6Ge (GGA-PBE)

Data for a geometry-optimized AlNi6Ge structure.

The density is 8.24 g/cm³.

The structure belongs to space group P4/mmm (No. 123); the cell edges are 5.0469, 5.0469 and 3.5727 Å and the angles 90.00°, 90.00° and 90.00°. The asymmetric unit holds Al at (0.0000, 0.0000, 0.0000), Ni at (0.0000, 0.5000, 0.0000), Ni at (0.2495, 0.2495, 0.5000) and Ge at (0.5000, 0.5000, 0.0000).



## AlNi4Ge (GGA-PBE)

Data for a geometry-optimized AlNi4Ge structure.

The density is 6.82 g/cm³. The relative energy among the computed polymorphs comes out at 1.64 eV per formula unit.

The structure belongs to space group C2/m (No. 12); the cell edges are 6.7089, 3.8797 and 6.6417 Å and the angles 90.00°, 109.57° and 90.00°. The asymmetric unit holds Al at (0.0000, 0.0000, 0.0000), Ni at (0.1244, 0.5000, 0.8736), Ni at (0.1265, 0.0000, 0.3796) and Ge at (0.0000, 0.5000, 0.5000).



## AlNi4Ge (GGA-PBE)

Data for a geometry-optimized AlNi4Ge structure.

The density is 7.89 g/cm³. The relative energy among the computed polymorphs comes out at 0.00 eV per formula unit.

The structure belongs to space group Pmc2_1 (No. 26); the cell edges are 3.8021, 7.3640 and 5.0281 Å and the angles 90.00°, 90.00° and 90.00°. The asymmetric unit holds Al at (0.0000, 0.1413, 0.0000), Ni at (0.0000, 0.1859, 0.5231), Ni at (0.0000, 0.4687, 0.1313), Ni at (0.5000, 0.0208, 0.2551), Ni at (0.5000, 0.3215, 0.8463) and Ge at (0.5000, 0.3490, 0.3687).



## AlNiGe (GGA-PBE)

Data for a geometry-optimized AlNiGe structure.

The density is 5.84 g/cm³.

The structure belongs to space group F-43m (No. 216); the cell edges are 5.6482, 5.6482 and 5.6482 Å and the angles 90.00°, 90.00° and 90.00°. The asymmetric unit holds Al at (0.0000, 0.0000, 0.0000), Ni at (0.2500, 0.2500, 0.7500) and Ge at (0.0000, 0.0000, 0.5000).



## Al6Ni12Ge (GGA-PBE)

Data for a geometry-optimized Al6Ni12Ge structure.

The density is 6.61 g/cm³.

The structure belongs to space group R-3m (No. 166, hexagonal axes); the cell edges are 9.9401, 9.9401 and 8.2721 Å and the angles 90.00°, 90.00° and 120.00°. The asymmetric unit holds Al at (0.0924, 0.1849, 0.2377), Ni at (0.0000, 0.2573, 0.5000), Ni at (0.0717, 0.5358, 0.6154) and Ge at (0.0000, 0.0000, 0.5000).



## Np2AlNi4Ge3 (GGA-PBE)

Data for a geometry-optimized Np2AlNi4Ge3 structure.

The density is 9.81 g/cm³.

The structure belongs to space group P-4m2 (No. 115); the cell edges are 4.0444, 4.0444 and 9.8676 Å and the angles 90.00°, 90.00° and 90.00°. The asymmetric unit holds Np at (0.0000, 0.5000, 0.2457), Al at (0.0000, 0.0000, 0.5000), Ni at (0.0000, 0.0000, 0.0000), Ni at (0.0000, 0.5000, 0.6331), Ni at (0.5000, 0.5000, 0.0000), Ge at (0.0000, 0.5000, 0.8703) and Ge at (0.5000, 0.5000, 0.5000).



Number 1: total energy -0.162 hartree per atom, ΔH_f (0 K) 0.051 eV/atom. Number 2: total energy -0.210 hartree per atom, ΔH_f (0 K) -0.394 eV/atom. Number 3: total energy -0.171 hartree per atom, ΔH_f (0 K) 0.031 eV/atom. Number 4: total energy -0.204 hartree per atom, ΔH_f (0 K) -0.422 eV/atom. Number 5: total energy -0.210 hartree per atom, ΔH_f (0 K) -0.382 eV/atom. Number 6: total energy -0.203 hartree per atom, ΔH_f (0 K) -0.376 eV/atom. Number 7: total energy -0.211 hartree per atom, ΔH_f (0 K) -0.357 eV/atom. Number 8: total energy -0.198 hartree per atom, ΔH_f (0 K) -0.147 eV/atom. Number 9: total energy -0.208 hartree per atom, ΔH_f (0 K) -0.420 eV/atom. Number 10: total energy -0.188 hartree per atom, ΔH_f (0 K) -0.410 eV/atom. Number 11: total energy -0.196 hartree per atom, ΔH_f (0 K) -0.266 eV/atom. Number 12: total energy -0.259 hartree per atom, ΔH_f (0 K) -0.377 eV/atom.